Compound: VOF2
Source: the Alexandria database
Functional: GGA+U
Structure: relaxed

Results
- Crystal system: trigonal
- DOS at the Fermi energy: 1.3 states/eV/f.u.
- Energy: -4.55 eV per atom

abc: 8.9151 8.9151 8.9151
angles: 20.21 20.21 20.21
Fractional positions:
O 0.5000 0.5000 0.5000
F 0.0675 0.0675 0.0675
F 0.9325 0.9325 0.9325
V 0.0000 0.0000 0.0000